# 1
Computed, not measured: PuThP after structural relaxation at the PBE level of DFT.

Unit cell a=3.826 b=3.826 c=6.429 alpha=90.00 beta=90.00 gamma=120.00
Positions (direct):
1 Pu 0.000 0.000 0.000
2 Th 0.667 0.333 0.543
3 P 0.333 0.667 0.261

Properties
Space-group type: P3m1 (156)
D(E_F): 8.28 states/eV/cell
Formation enthalpy at 0 K: -0.63 eV per atom

***

# 2
Computed, not measured: Pm3ErC after structural relaxation at the PBE level of DFT.

Unit cell a=5.189 b=5.189 c=5.189 alpha=90.00 beta=90.00 gamma=90.00
Positions (direct):
1 Pm 0.000 0.000 0.500
2 Pm 0.000 0.500 0.000
3 Pm 0.500 0.000 0.000
4 Er 0.500 0.500 0.500
5 C 0.000 0.000 0.000

Properties
Space-group type: Pm-3m (221)
D(E_F): 6.41 states/eV/cell
Formation enthalpy at 0 K: 0.07 eV per atom

***

# 3
Computed, not measured: Tb4Y2Al after structural relaxation at the PBE level of DFT.

Unit cell a=19.045 b=19.045 c=19.045 alpha=10.92 beta=10.92 gamma=10.92
Positions (direct):
1 Tb 0.091 0.091 0.091
2 Tb 0.294 0.294 0.294
3 Tb 0.706 0.706 0.706
4 Tb 0.909 0.909 0.909
5 Y 0.192 0.192 0.192
6 Y 0.808 0.808 0.808
7 Al 0.000 0.000 0.000

Properties
Space-group type: R-3m (166)
D(E_F): 11.14 states/eV/cell
Formation enthalpy at 0 K: -0.04 eV per atom

***

# 4
Computed, not measured: TbZnGa3 after structural relaxation at the PBE level of DFT.

Unit cell a=6.116 b=6.113 c=4.224 alpha=69.83 beta=69.76 gamma=40.41
Positions (direct):
1 Tb 0.000 0.000 0.000
2 Zn 0.384 0.384 0.616
3 Ga 0.251 0.251 0.249
4 Ga 0.609 0.609 0.391
5 Ga 0.751 0.751 0.749

Properties
Space-group type: Fmm2 (42)
D(E_F): 1.02 states/eV/cell
Formation enthalpy at 0 K: -0.41 eV per atom

***

# 5
Computed, not measured: TbGa2Ir after structural relaxation at the PBE level of DFT.

Unit cell a=5.526 b=5.526 c=5.526 alpha=45.06 beta=45.06 gamma=45.06
Positions (direct):
1 Tb 0.000 0.000 0.000
2 Ga 0.217 0.217 0.217
3 Ga 0.783 0.783 0.783
4 Ir 0.500 0.500 0.500

Properties
Space-group type: R-3m (166)
D(E_F): 2.81 states/eV/cell
Formation enthalpy at 0 K: -0.66 eV per atom

***

# 6
Computed, not measured: Tb4Dy7Ho2 after structural relaxation at the PBE level of DFT.

Unit cell a=6.119 b=7.906 c=9.361 alpha=65.07 beta=83.78 gamma=82.56
Positions (direct):
1 Tb 0.039 0.423 0.346
2 Tb 0.192 0.115 0.731
3 Tb 0.808 0.885 0.269
4 Tb 0.961 0.577 0.654
5 Dy 0.116 0.269 0.038
6 Dy 0.269 0.962 0.423
7 Dy 0.423 0.654 0.808
8 Dy 0.500 0.500 0.500
9 Dy 0.577 0.346 0.192
10 Dy 0.731 0.038 0.577
11 Dy 0.884 0.731 0.962
12 Ho 0.346 0.808 0.115
13 Ho 0.654 0.192 0.885

Properties
Space-group type: P-1 (2)
D(E_F): 17.47 states/eV/cell
Formation enthalpy at 0 K: 0.02 eV per atom

***

# 7
Computed, not measured: CaCuPb2 after structural relaxation at the PBE level of DFT.

Unit cell a=5.343 b=5.343 c=5.343 alpha=60.00 beta=60.00 gamma=60.00
Positions (direct):
1 Ca 0.000 0.000 0.000
2 Cu 0.750 0.750 0.750
3 Pb 0.250 0.250 0.250
4 Pb 0.500 0.500 0.500

Properties
Space-group type: F-43m (216)
D(E_F): 3.53 states/eV/cell
Formation enthalpy at 0 K: 0.00 eV per atom

***

# 8
Computed, not measured: SrGePd2 after structural relaxation at the PBE level of DFT.

Unit cell a=7.781 b=7.097 c=5.908 alpha=90.00 beta=90.00 gamma=90.00
Positions (direct):
1 Sr 0.023 0.250 0.135
2 Sr 0.477 0.750 0.635
3 Sr 0.523 0.250 0.365
4 Sr 0.977 0.750 0.865
5 Ge 0.128 0.750 0.363
6 Ge 0.372 0.250 0.863
7 Ge 0.628 0.750 0.137
8 Ge 0.872 0.250 0.637
9 Pd 0.167 0.055 0.598
10 Pd 0.167 0.445 0.598
11 Pd 0.333 0.555 0.098
12 Pd 0.333 0.945 0.098
13 Pd 0.667 0.055 0.902
14 Pd 0.667 0.445 0.902
15 Pd 0.833 0.555 0.402
16 Pd 0.833 0.945 0.402

Properties
Space-group type: Pnma (62)
D(E_F): 8.56 states/eV/cell
Formation enthalpy at 0 K: -0.71 eV per atom

***

# 9
Computed, not measured: FeNiSbTe2 after structural relaxation at the PBE level of DFT.

Unit cell a=5.164 b=5.164 c=4.766 alpha=90.00 beta=90.00 gamma=90.00
Positions (direct):
1 Fe 0.000 0.000 0.000
2 Ni 0.500 0.500 0.500
3 Sb 0.500 0.500 0.000
4 Te 0.000 0.500 0.500
5 Te 0.500 0.000 0.500

Properties
Space-group type: P4/mmm (123)
E_form (uncorrected): 0.72 eV/atom
Energy above the most stable polymorph in this dataset: 0 meV/atom
D(E_F): 6.03 states/eV/cell

***

# 10
Computed, not measured: ErThInAg after structural relaxation at the PBE level of DFT.

Unit cell a=5.322 b=5.322 c=5.322 alpha=60.00 beta=60.00 gamma=60.00
Positions (direct):
1 Er 0.000 0.000 0.000
2 Th 0.500 0.500 0.500
3 In 0.750 0.750 0.750
4 Ag 0.250 0.250 0.250

Properties
Space-group type: F-43m (216)
D(E_F): 4.60 states/eV/cell
Formation enthalpy at 0 K: -0.22 eV per atom

***

# 11
Computed, not measured: Li5MoN3 after structural relaxation at the PBE level of DFT.

Unit cell a=6.014 b=6.014 c=6.884 alpha=106.74 beta=106.74 gamma=48.54
Positions (direct):
1 Li 0.048 0.595 0.894
2 Li 0.100 0.566 0.437
3 Li 0.226 0.774 0.750
4 Li 0.405 0.952 0.606
5 Li 0.434 0.900 0.063
6 Li 0.566 0.100 0.937
7 Li 0.595 0.048 0.394
8 Li 0.774 0.226 0.250
9 Li 0.900 0.434 0.563
10 Li 0.952 0.405 0.106
11 Mo 0.271 0.729 0.250
12 Mo 0.729 0.271 0.750
13 N 0.111 0.196 0.822
14 N 0.196 0.111 0.322
15 N 0.500 0.500 0.000
16 N 0.500 0.500 0.500
17 N 0.804 0.889 0.678
18 N 0.889 0.804 0.178

Properties
Space-group type: C2/c (15)
E_form (uncorrected): -0.46 eV/atom
D(E_F): 6.22 states/eV/cell

***

# 12
Computed, not measured: LaSnHgPt3 after structural relaxation at the PBE level of DFT.

Unit cell a=9.424 b=9.424 c=5.746 alpha=90.00 beta=90.00 gamma=144.48
Positions (direct):
1 La 0.213 0.787 0.750
2 La 0.787 0.213 0.250
3 Sn 0.089 0.911 0.250
4 Sn 0.911 0.089 0.750
5 Hg 0.386 0.614 0.250
6 Hg 0.614 0.386 0.750
7 Pt 0.236 0.764 0.250
8 Pt 0.266 0.266 0.000
9 Pt 0.266 0.266 0.500
10 Pt 0.734 0.734 0.000
11 Pt 0.734 0.734 0.500
12 Pt 0.764 0.236 0.750

Properties
Space-group type: Cmcm (63)
D(E_F): 3.87 states/eV/cell
Formation enthalpy at 0 K: -0.52 eV per atom

***

# 13
Computed, not measured: Sc4InPb after structural relaxation at the PBE level of DFT.

Unit cell a=5.949 b=5.949 c=5.949 alpha=60.00 beta=60.00 gamma=60.00
Positions (direct):
1 Sc 0.125 0.125 0.125
2 Sc 0.125 0.125 0.626
3 Sc 0.125 0.626 0.125
4 Sc 0.626 0.125 0.125
5 In 0.750 0.750 0.750
6 Pb 0.500 0.500 0.500

Properties
Space-group type: F-43m (216)
Energy above the most stable polymorph in this dataset: 119 meV/atom
D(E_F): 7.38 states/eV/cell
Formation enthalpy at 0 K: 0.05 eV per atom

***

# 14
Computed, not measured: PuUMnSi2 after structural relaxation at the PBE level of DFT.

Unit cell a=5.439 b=5.513 c=5.887 alpha=90.00 beta=90.00 gamma=90.00
Positions (direct):
1 Pu 0.250 0.000 0.118
2 Pu 0.750 0.000 0.882
3 U 0.250 0.500 0.255
4 U 0.750 0.500 0.745
5 Mn 0.000 0.000 0.500
6 Mn 0.500 0.000 0.500
7 Si 0.250 0.281 0.722
8 Si 0.250 0.719 0.722
9 Si 0.750 0.281 0.278
10 Si 0.750 0.719 0.278

Properties
Space-group type: Pmma (51)
E_form (uncorrected): -0.22 eV/atom
D(E_F): 17.40 states/eV/cell

***

# 15
Computed, not measured: CePmIr4 after structural relaxation at the PBE level of DFT.

Unit cell a=5.410 b=5.410 c=5.410 alpha=60.00 beta=60.00 gamma=60.00
Positions (direct):
1 Ce 0.000 0.000 0.000
2 Pm 0.250 0.250 0.250
3 Ir 0.125 0.625 0.625
4 Ir 0.625 0.125 0.625
5 Ir 0.625 0.625 0.125
6 Ir 0.625 0.625 0.625

Properties
Space-group type: F-43m (216)
D(E_F): 6.24 states/eV/cell
Formation enthalpy at 0 K: -0.75 eV per atom

***

# 16
Computed, not measured: Sc6InRh5 after structural relaxation at the PBE level of DFT.

Unit cell a=7.994 b=7.994 c=7.994 alpha=146.86 beta=129.65 gamma=61.61
Positions (direct):
1 Sc 0.068 0.328 0.741
2 Sc 0.230 0.000 0.230
3 Sc 0.413 0.672 0.741
4 Sc 0.587 0.328 0.259
5 Sc 0.770 0.000 0.770
6 Sc 0.932 0.672 0.259
7 In 0.500 0.500 0.000
8 Rh 0.000 0.500 0.500
9 Rh 0.168 0.168 0.000
10 Rh 0.337 0.837 0.500
11 Rh 0.663 0.163 0.500
12 Rh 0.832 0.832 0.000

Properties
Space-group type: Immm (71)
D(E_F): 6.87 states/eV/cell
Formation enthalpy at 0 K: -0.87 eV per atom

***

# 17
Computed, not measured: Zr5CdTc after structural relaxation at the PBE level of DFT.

Unit cell a=5.821 b=5.821 c=10.632 alpha=105.14 beta=105.14 gamma=92.32
Positions (direct):
1 Zr 0.076 0.924 0.750
2 Zr 0.105 0.260 0.031
3 Zr 0.125 0.608 0.314
4 Zr 0.260 0.105 0.531
5 Zr 0.392 0.875 0.186
6 Zr 0.608 0.125 0.814
7 Zr 0.740 0.895 0.469
8 Zr 0.875 0.392 0.686
9 Zr 0.895 0.740 0.969
10 Zr 0.924 0.076 0.250
11 Cd 0.421 0.579 0.750
12 Cd 0.579 0.421 0.250
13 Tc 0.000 0.500 0.500
14 Tc 0.500 0.000 0.000

Properties
Space-group type: C2/c (15)
D(E_F): 14.42 states/eV/cell
Formation enthalpy at 0 K: 0.24 eV per atom

***

Number 1: VASP energy -29.05 eV per formula unit. Number 2: VASP energy -27.67 eV per formula unit. Number 3: VASP energy -35.44 eV per formula unit. Number 4: VASP energy -17.01 eV per formula unit. Number 5: VASP energy -22.19 eV per formula unit. Number 6: VASP energy -59.67 eV per formula unit. Number 7: VASP energy -13.52 eV per formula unit. Number 8: VASP energy -19.51 eV per formula unit. Number 9: VASP energy -21.07 eV per formula unit. Number 10: VASP energy -18.47 eV per formula unit. Number 11: VASP energy -49.53 eV per formula unit. Number 12: VASP energy -30.45 eV per formula unit. Number 13: VASP energy -31.50 eV per formula unit. Number 14: VASP energy -46.75 eV per formula unit. Number 15: VASP energy -50.60 eV per formula unit. Number 16: VASP energy -87.92 eV per formula unit. Number 17: VASP energy -52.36 eV per formula unit.